Ti3CrHg (PBE-GGA, optimized geometry); DOS at the Fermi energy = 8.38 states/eV/cell; space-group type = No. 221; energy of formation from the pure elements = 0.492 eV per atom
1.0
-0.977 -3.219 -3.055
-2.705 -2.048 3.023
-3.518 2.469 -1.476
Cr Hg Ti
1 1 3
direct
0.000 0.000 0.000 Cr
0.500 0.500 0.500 Hg
0.000 0.500 0.000 Ti
0.000 0.000 0.500 Ti
0.500 0.000 0.000 Ti